[1]
VASP calculation (PBE-GGA) on a relaxed structure of Cs2TlF5.

Cell lengths 7.1446, 7.9810, 11.9115 Å; angles 90.00, 90.00, 90.00 degrees
With the nearest neighbours (Å) after each atom.
Fractional positions:
Cs 0.0571 0.5040 0.3337  8 F 2.99-3.31
Cs 0.5571 0.0040 0.1663  8 F 2.99-3.31
Cs 0.5571 0.4960 0.1663  8 F 2.99-3.31
Cs 0.4429 0.9960 0.8337  8 F 2.99-3.31
Cs 0.9429 0.0040 0.6663  8 F 2.99-3.31
Cs 0.9429 0.4960 0.6663  8 F 2.99-3.31
Cs 0.4429 0.5040 0.8337  8 F 2.99-3.31
Cs 0.0571 0.9960 0.3337  8 F 2.99-3.31
F 0.1605 0.5494 0.0520  1 Tl 2.25
F 0.6605 0.0494 0.4480  1 Tl 2.25
F 0.3395 0.9506 0.5520  1 Tl 2.25
F 0.3710 0.2500 0.3230  1 Tl 2.19
F 0.0871 0.7500 0.8352  1 Tl 2.18
F 0.9129 0.2500 0.1648  1 Tl 2.18
F 0.3471 0.2500 0.0253  1 Tl 2.20
F 0.5871 0.2500 0.6648  1 Tl 2.18
F 0.6529 0.7500 0.9747  1 Tl 2.20
F 0.8395 0.4506 0.9480  1 Tl 2.25
F 0.6290 0.7500 0.6770  1 Tl 2.19
F 0.1529 0.2500 0.5253  1 Tl 2.20
F 0.8710 0.7500 0.1770  1 Tl 2.19
F 0.1605 0.9506 0.0520  1 Tl 2.25
F 0.8471 0.7500 0.4747  1 Tl 2.20
F 0.4129 0.7500 0.3352  1 Tl 2.18
F 0.8395 0.0494 0.9480  1 Tl 2.25
F 0.1290 0.2500 0.8230  1 Tl 2.19
F 0.6605 0.4506 0.4480  1 Tl 2.25
F 0.3395 0.5494 0.5520  1 Tl 2.25
Tl 0.4573 0.2500 0.4996  5 F 2.18-2.25
Tl 0.5427 0.7500 0.5004  5 F 2.18-2.25
Tl 0.9573 0.7500 0.0004  5 F 2.18-2.25
Tl 0.0427 0.2500 0.9996  5 F 2.18-2.25

Properties
Energy relative to the elements, uncorrected (kJ/mol of atoms): -227.0

=====

[2]
VASP calculation (PBE-GGA) on a relaxed structure of TbDy2Tm2Sc.

Cell lengths 5.4857, 9.5104, 6.8495 Å; angles 90.00, 90.00, 90.00 degrees
With the nearest neighbours (Å) after each atom.
Fractional positions:
Tm 0.5000 0.1669 0.2483  5 Dy 3.17-3.46
Tm 0.0000 0.6669 0.2517  5 Dy 3.17-3.46
Tm 0.5000 0.8331 0.7517  5 Dy 3.17-3.46
Tm 0.0000 0.3331 0.7483  5 Dy 3.17-3.46
Dy 0.0000 0.6664 0.7469  5 Tm 3.17-3.46
Dy 0.5000 0.1664 0.7531  5 Tm 3.17-3.46
Dy 0.0000 0.3336 0.2531  5 Tm 3.17-3.46
Dy 0.5000 0.8336 0.2469  5 Tm 3.17-3.46
Sc 0.5000 0.5000 0.5000  2 Tb 3.42, 6 Dy 3.59-3.61, 6 Tm 3.60-3.61
Sc 0.0000 0.0000 0.0000  2 Tb 3.42, 6 Dy 3.59-3.61, 6 Tm 3.60-3.61
Tb 0.5000 0.5000 0.0000  2 Sc 3.42, 6 Dy 3.60-3.61, 6 Tm 3.60-3.61
Tb 0.0000 0.0000 0.5000  2 Sc 3.42, 6 Dy 3.60-3.61, 6 Tm 3.60-3.61

Properties
Formation energy (meV/atom): 98

=====

[3]
VASP calculation (PBE-GGA) on a relaxed structure of Ba3ScPb.

Cell lengths 6.2367, 6.2367, 6.2367 Å; angles 90.00, 90.00, 90.00 degrees
With the nearest neighbours (Å) after each atom.
Fractional positions:
Ba 0.0000 0.5000 0.0000  2 Sc 3.12
Ba 0.0000 0.0000 0.5000  2 Sc 3.12
Ba 0.5000 0.0000 0.0000  2 Sc 3.12
Sc 0.0000 0.0000 0.0000  6 Ba 3.12
Pb 0.5000 0.5000 0.5000  12 Ba 4.41

Properties
Formation energy (meV/atom): 489

=====

| no. | VASP energy (eV per atom) |
| --- | --- |
| 1 | -4.03 |
| 2 | -4.75 |
| 3 | -2.67 |